Arrangement 1

A relaxed structure of Mo2AsP. Source: Alexandria via LeMat-Bulk, functional PBE.

```
Mo2AsP
1.0
-4.298 -1.601 -0.690
-2.584 -1.908 -3.346
0.288 -4.409 0.696
As Mo P
1 2 1
Direct
0.252 0.252 0.204
0.992 0.992 0.059
0.762 0.762 0.680
0.494 0.494 0.558
```

Summary:
Space-group type: No. 8
V, Å³ per cell: 59.5
Total moment, μB/f.u.: 0.000


Arrangement 2

A relaxed structure of Mo2AsP. Source: Alexandria via LeMat-Bulk, functional PBE.

```
Mo2AsP
1.0
-4.532 3.925 -4.907
-5.762 1.126 -5.056
-6.559 3.030 -2.797
As Mo P
1 2 1
Direct
0.750 0.750 0.750
0.994 0.994 0.994
0.506 0.506 0.506
0.250 0.250 0.250
```

Summary:
Space-group type: No. 166
V, Å³ per cell: 61.2
Total moment, μB/f.u.: 0.000


The data favor arrangement 1; the next most stable structure lies 0.222 eV/atom above it.